A plane-wave DFT calculation with GGA-PBE was carried out for an optimized crystal structure of CsHoB2H8.

Results
Final energy   -4.050 eV per atom

Cell: 8.947 8.947 8.947 Å, 26.46 26.46 26.46°
Element x y z (fractional)
Cs  0.000  0.000  0.000
Ho  0.500  0.500  0.500
B  0.231  0.231  0.231
B  0.769  0.769  0.769
H  0.048  0.048  0.546
H  0.048  0.546  0.048
H  0.278  0.278  0.278
H  0.454  0.952  0.952
H  0.546  0.048  0.048
H  0.722  0.722  0.722
H  0.952  0.454  0.952
H  0.952  0.952  0.454

A plane-wave DFT calculation with GGA-PBE was carried out for an optimized crystal structure of MgPt2RhBr.

Results
Uncorrected formation energy   681 meV per atom

Cell: 4.817 4.817 5.090 Å, 90.00 90.00 90.00°
Element x y z (fractional)
Mg  0.000  0.000  0.000
Pt  0.000  0.500  0.500
Pt  0.500  0.000  0.500
Rh  0.000  0.000  0.500
Br  0.500  0.500  0.000

A plane-wave DFT calculation with GGA-PBE was carried out for an optimized crystal structure of InSiGe.

Results
Uncorrected formation energy   217 meV per atom
Energy above the lowest structure with this stoichiometry   0.017 eV/atom

Cell: 5.808 5.808 5.808 Å, 38.63 38.63 38.63°
Element x y z (fractional)
In  0.000  0.000  0.000
Si  0.205  0.205  0.205
Ge  0.804  0.804  0.804

A plane-wave DFT calculation with GGA-PBE was carried out for an optimized crystal structure of Pu2TlSb.

Results
Uncorrected formation energy   -83 meV per atom
Energy above the lowest structure with this stoichiometry   0.250 eV/atom

Cell: 10.631 10.631 10.631 Å, 19.11 19.11 19.11°
Element x y z (fractional)
Pu  0.246  0.246  0.246
Pu  0.754  0.754  0.754
Tl  0.000  0.000  0.000
Sb  0.500  0.500  0.500

A plane-wave DFT calculation with GGA-PBE was carried out for an optimized crystal structure of EuTmGaAg.

Results
DFT formation energy   -1.52 eV/f.u.

Cell: 5.180 5.180 5.180 Å, 60.00 60.00 60.00°
Element x y z (fractional)
Eu  0.000  0.000  0.000
Tm  0.500  0.500  0.500
Ga  0.750  0.750  0.750
Ag  0.250  0.250  0.250

A plane-wave DFT calculation with GGA-PBE was carried out for an optimized crystal structure of Sm7Dy12Y.

Results
DFT formation energy   13.13 eV/f.u.
Energy above the lowest structure with this stoichiometry   0.421 eV/atom

Cell: 9.777 9.777 9.777 Å, 109.47 109.47 109.47°
Element x y z (fractional)
Sm  0.000  0.000  0.500
Sm  0.000  0.500  0.000
Sm  0.000  0.500  0.500
Sm  0.500  0.000  0.000
Sm  0.500  0.000  0.500
Sm  0.500  0.500  0.000
Sm  0.500  0.500  0.500
Dy  0.000  0.249  0.751
Dy  0.000  0.751  0.249
Dy  0.249  0.000  0.751
Dy  0.249  0.249  0.497
Dy  0.249  0.497  0.249
Dy  0.249  0.751  0.000
Dy  0.497  0.249  0.249
Dy  0.503  0.751  0.751
Dy  0.751  0.000  0.249
Dy  0.751  0.249  0.000
Dy  0.751  0.503  0.751
Dy  0.751  0.751  0.503
Y  0.000  0.000  0.000

A plane-wave DFT calculation with GGA-PBE was carried out for an optimized crystal structure of AlCrTe2.

Results
Uncorrected formation energy   241 meV per atom

Cell: 5.514 5.514 5.514 Å, 137.23 108.15 87.39°
Element x y z (fractional)
Al  0.000  0.000  0.000
Cr  0.500  0.500  0.000
Te  0.270  0.770  0.500
Te  0.730  0.230  0.500

A plane-wave DFT calculation with GGA-PBE was carried out for an optimized crystal structure of Ac3Al2RhO9.

Results
Uncorrected formation energy   -2854 meV per atom

Cell: 5.553 5.553 6.833 Å, 90.00 90.00 120.00°
Element x y z (fractional)
Ac  0.000  0.000  0.000
Ac  0.333  0.667  0.662
Ac  0.667  0.333  0.338
Al  0.333  0.667  0.157
Al  0.667  0.333  0.843
Rh  0.000  0.000  0.500
O  0.000  0.500  0.000
O  0.173  0.345  0.324
O  0.173  0.827  0.324
O  0.345  0.173  0.676
O  0.500  0.000  0.000
O  0.500  0.500  0.000
O  0.655  0.827  0.324
O  0.827  0.173  0.676
O  0.827  0.655  0.676

A plane-wave DFT calculation with GGA-PBE was carried out for an optimized crystal structure of TmScCu.

Results
DFT formation energy   0.03 eV/f.u.
Energy above the lowest structure with this stoichiometry   0.198 eV/atom

Cell: 4.609 4.609 3.600 Å, 90.00 90.00 120.00°
Element x y z (fractional)
Tm  0.000  0.000  0.000
Sc  0.333  0.667  0.478
Cu  0.667  0.333  0.651

A plane-wave DFT calculation with GGA-PBE was carried out for an optimized crystal structure of NiTePb3.

Results
Uncorrected formation energy   -7 meV per atom
Energy above the lowest structure with this stoichiometry   0.000 eV/atom

Cell: 5.223 5.223 5.223 Å, 90.00 90.00 90.00°
Element x y z (fractional)
Ni  0.000  0.000  0.000
Te  0.500  0.500  0.500
Pb  0.000  0.000  0.500
Pb  0.000  0.500  0.000
Pb  0.500  0.000  0.000

A plane-wave DFT calculation with GGA-PBE was carried out for an optimized crystal structure of KZrH2.

Results
Energy above the lowest structure with this stoichiometry   0.806 eV/atom

Cell: 4.353 4.353 4.353 Å, 60.00 60.00 60.00°
Element x y z (fractional)
K  0.000  0.000  0.000
Zr  0.500  0.500  0.500
H  0.250  0.250  0.250
H  0.750  0.750  0.750

A plane-wave DFT calculation with GGA-PBE was carried out for an optimized crystal structure of Sr3LiRh.

Results
DFT formation energy   1.33 eV/f.u.
Energy above the lowest structure with this stoichiometry   0.412 eV/atom

Cell: 4.917 4.917 9.442 Å, 90.00 90.00 90.00°
Element x y z (fractional)
Sr  0.000  0.000  0.000
Sr  0.000  0.500  0.678
Sr  0.500  0.000  0.678
Li  0.000  0.000  0.383
Rh  0.500  0.500  0.864